PrErInRu, optimized geometry, DFT GGA-PBE; total magnetic moment = 0.000 μB/atom; calculated total energy = -5.59 eV per atom
1.0
-0.005 -4.884 -1.625
-0.929 -3.818 3.325
-4.422 -2.621 -0.261
Pr Ru In Er
1 1 1 1
Cartesian
-1.339 -2.831 0.360
-2.678 -5.662 0.719
0.000 0.000 0.000
-4.017 -8.493 1.079